Record 1
The following is a PBE-GGA calculation of Tb2TmScTl2 after structural relaxation, from Alexandria.

Computed properties:
As for the uncorrected energy: -4.388 eV per atom. For the calculated formation energy, the calculation gives -1.53 eV/f.u.

Cell: 4.9526 9.7901 6.8104 Å, 90.00 90.00 90.00°
Space group Pmc2_1 (No. 26)
Symmetry-distinct sites (fractional):
Tb: 0.0000 0.0455 0.0000 x2
Tb: 0.5000 0.1906 0.2833 x2
Tm: 0.5000 0.4556 0.9004 x2
Sc: 0.0000 0.3089 0.6143 x2
Tl: 0.0000 0.3813 0.1694 x2
Tl: 0.5000 0.1418 0.7420 x2

---

Record 2
The following is a PBE-GGA calculation of LaAl2Ni after structural relaxation, from Alexandria.

Computed properties:
As for the uncorrected energy: -4.809 eV per atom. For the calculated formation energy, the calculation gives -1.04 eV/f.u.

Cell: 3.4685 4.1302 6.0744 Å, 90.00 106.45 90.00°
Space group Pm (No. 6)
Symmetry-distinct sites (fractional):
La: 0.0000 0.0000 0.0000 x1
Al: 0.2851 0.5000 0.5734 x1
Al: 0.7294 0.0000 0.4618 x1
Ni: 0.6266 0.5000 0.2558 x1